The following is a PBE calculation of an optimized crystal structure of LaPrDy2Ho2, from the Alexandria database.

Output
Crystal system   orthorhombic
Energy relative to the elements   70 meV per atom
Total magnetization   0.00 Bohr magnetons per cell

CIF file:
```
data_LaPrDy2Ho2
_cell_length_a 7.008
_cell_length_b 9.900
_cell_length_c 5.712
_cell_angle_alpha 90.00
_cell_angle_beta 90.00
_cell_angle_gamma 90.00
_space_group_name_H-M_alt 'P n n m'
_space_group_IT_number 58
loop_
_space_group_symop_operation_xyz
'x,y,z'
'-x,-y,-z'
'-x,-y,z'
'x,y,-z'
'x+1/2,-y+1/2,-z+1/2'
'-x+1/2,y+1/2,z+1/2'
'-x+1/2,y+1/2,-z+1/2'
'x+1/2,-y+1/2,z+1/2'
loop_
_atom_site_label
_atom_site_fract_x
_atom_site_fract_y
_atom_site_fract_z
La1 0.000 0.000 0.000
Pr1 0.000 0.500 0.500
Dy1 0.250 0.167 0.500
Ho1 0.249 0.333 0.000
```